Computed, not measured: crystalline NaTlPd2 at its relaxed geometry at the PBE-GGA level of DFT.

As for the energy of formation from the pure elements: -13.4 kJ/mol of atoms. Its density of states at the Fermi level is 1.3 states/eV/f.u. The total energy comes out at -58.5 eV per cell.

It has space group Cmcm (No. 63), with a = 4.499 Å, b = 11.996 Å, c = 6.113 Å, α = 90.00°, β = 90.00° and γ = 90.00°. The inequivalent atoms are Na at (0.000, 0.058, 0.250), Tl at (0.000, 0.208, 0.750) and Pd at (0.000, 0.388, 0.028).

=====

Computed, not measured: crystalline Na6Tl8Pd at its relaxed geometry at the PBE-GGA level of DFT.

As for the energy of formation from the pure elements: -6.7 kJ/mol of atoms. Its density of states at the Fermi level is 8.4 states/eV/f.u. The total energy comes out at -99.2 eV per cell.

It has space group R-3 (No. 148, hexagonal axes), with a = 8.7254 Å, b = 8.7254 Å, c = 19.0402 Å, α = 90.00°, β = 90.00° and γ = 120.00°. The inequivalent atoms are Na at (0.0271, 0.7625, 0.2077), Tl at (0.0000, 0.0000, 0.0810), Tl at (0.0515, 0.2470, 0.6271) and Pd at (0.0000, 0.0000, 0.5000).